Record 1
First-principles (PBE-GGA) data for a relaxed structure of ScOsBr2, as listed in Alexandria.

Cell lengths 3.5645, 3.5645, 7.4406 Å; angles 90.00, 90.00, 90.00 degrees
Last column: nearest neighbours and their distance in Å.
Space group P4mm (No. 99)
Symmetry-distinct sites (fractional):
1 Sc 0.0000 0.0000 0.0000 (multiplicity 1)  4 Os 2.72, 5 Br 2.83-2.94
2 Os 0.5000 0.5000 0.8617 (multiplicity 1)  1 Br 2.53, 4 Sc 2.72
3 Br 0.0000 0.0000 0.6203 (multiplicity 1)  1 Sc 2.83, 4 Os 3.10
4 Br 0.5000 0.5000 0.2022 (multiplicity 1)  1 Os 2.53

Computed properties:
* D(E_F): 2.73 states/eV/cell
* calculated total energy: -5.313 eV/atom
* ΔE_f (raw): -86 meV/atom
* polymorph energy (0 for the lowest one): 225.1 meV per atom


Record 2
First-principles (PBE-GGA) data for a relaxed structure of ScOsBr2, as listed in Alexandria.

Cell lengths 3.2596, 4.2341, 13.8976 Å; angles 90.00, 90.00, 90.00 degrees
Last column: nearest neighbours and their distance in Å.
Space group Imm2 (No. 44)
Symmetry-distinct sites (fractional):
1 Sc 0.0000 0.0000 0.0000 (multiplicity 2)  2 Os 2.56
2 Os 0.0000 0.5000 0.3580 (multiplicity 2)  2 Sc 2.56, 4 Br 2.67
3 Br 0.0000 0.0000 0.6001 (multiplicity 2)  4 Sc 3.01, 2 Br 3.26
4 Br 0.0000 0.5000 0.8494 (multiplicity 2)  4 Os 2.67, 2 Sc 2.98

Computed properties:
* D(E_F): 3.42 states/eV/cell
* calculated total energy: -5.340 eV/atom
* ΔE_f (raw): -113 meV/atom
* polymorph energy (0 for the lowest one): 198.3 meV per atom


Record 3
First-principles (PBE-GGA) data for a relaxed structure of ScOsBr2, as listed in Alexandria.

Cell lengths 3.2477, 3.2477, 30.1700 Å; angles 90.00, 90.00, 120.00 degrees
Last column: nearest neighbours and their distance in Å.
Space group R-3m (No. 166, hexagonal axes)
Symmetry-distinct sites (fractional):
1 Sc 0.0000 0.0000 0.0000 (multiplicity 3)  6 Br 2.65
2 Os 0.0000 0.0000 0.5000 (multiplicity 3)  6 Os 3.25
3 Br 0.0000 0.0000 0.2713 (multiplicity 6)  3 Sc 2.65

Computed properties:
* D(E_F): 8.46 states/eV/cell
* calculated total energy: -4.862 eV/atom
* ΔE_f (raw): 365 meV/atom
* polymorph energy (0 for the lowest one): 676.0 meV per atom


Record 4
First-principles (PBE-GGA) data for a relaxed structure of ScOsBr2, as listed in Alexandria.

Cell lengths 3.3746, 3.3746, 28.9402 Å; angles 90.00, 90.00, 120.00 degrees
Last column: nearest neighbours and their distance in Å.
Space group R3m (No. 160, hexagonal axes)
Symmetry-distinct sites (fractional):
1 Sc 0.0000 0.0000 0.0000 (multiplicity 3)  3 Br 2.72, 3 Os 2.75
2 Os 0.0000 0.0000 0.7339 (multiplicity 3)  3 Br 2.73, 3 Sc 2.75
3 Br 0.0000 0.0000 0.2677 (multiplicity 3)  3 Sc 2.72
4 Br 0.0000 0.0000 0.4665 (multiplicity 3)  3 Os 2.73

Computed properties:
* D(E_F): 8.92 states/eV/cell
* calculated total energy: -5.421 eV/atom
* ΔE_f (raw): -194 meV/atom
* polymorph energy (0 for the lowest one): 116.9 meV per atom


Record 5
First-principles (PBE-GGA) data for a relaxed structure of ScOsBr2, as listed in Alexandria.

Cell lengths 3.1734, 4.4084, 5.6737 Å; angles 90.00, 90.00, 90.00 degrees
Last column: nearest neighbours and their distance in Å.
Space group Pmmm (No. 47)
Symmetry-distinct sites (fractional):
1 Sc 0.0000 0.0000 0.0000 (multiplicity 1)  4 Br 2.72
2 Os 0.5000 0.0000 0.5000 (multiplicity 1)  4 Br 2.72
3 Br 0.0000 0.5000 0.5000 (multiplicity 1)  4 Os 2.72
4 Br 0.5000 0.5000 0.0000 (multiplicity 1)  4 Sc 2.72

Computed properties:
* D(E_F): 3.22 states/eV/cell
* calculated total energy: -4.925 eV/atom
* ΔE_f (raw): 302 meV/atom
* polymorph energy (0 for the lowest one): 613.2 meV per atom


Record 6
First-principles (PBE-GGA) data for a relaxed structure of ScOsBr2, as listed in Alexandria.

Cell lengths 3.7770, 3.7770, 24.2195 Å; angles 90.00, 90.00, 120.00 degrees
Last column: nearest neighbours and their distance in Å.
Space group R-3m (No. 166, hexagonal axes)
Symmetry-distinct sites (fractional):
1 Sc 0.0000 0.0000 0.0000 (multiplicity 3)  2 Br 2.74
2 Os 0.0000 0.0000 0.5000 (multiplicity 3)  6 Br 2.54
3 Br 0.0000 0.0000 0.1131 (multiplicity 6)  3 Os 2.54, 1 Sc 2.74

Computed properties:
* D(E_F): 20.85 states/eV/cell
* calculated total energy: -4.588 eV/atom
* ΔE_f (raw): 639 meV/atom
* polymorph energy (0 for the lowest one): 950.4 meV per atom


Record 7
First-principles (PBE-GGA) data for a relaxed structure of ScOs3Br, as listed in Alexandria.

Cell lengths 4.8222, 4.8222, 4.8222 Å; angles 90.00, 90.00, 90.00 degrees
Last column: nearest neighbours and their distance in Å.
Space group Pm-3m (No. 221)
Symmetry-distinct sites (fractional):
1 Sc 0.0000 0.0000 0.0000 (multiplicity 1)  6 Os 2.41
2 Os 0.0000 0.0000 0.5000 (multiplicity 3)  2 Sc 2.41
3 Br 0.5000 0.5000 0.5000 (multiplicity 1)  12 Os 3.41

Computed properties:
* D(E_F): 7.85 states/eV/cell
* calculated total energy: -5.705 eV/atom
* ΔE_f (raw): 2634 meV/atom
* polymorph energy (0 for the lowest one): 891.0 meV per atom


Record 8
First-principles (PBE-GGA) data for a relaxed structure of ScOsBr2, as listed in Alexandria.

Cell lengths 6.6633, 6.6633, 6.6633 Å; angles 90.00, 90.00, 90.00 degrees
Last column: nearest neighbours and their distance in Å.
Space group Fm-3m (No. 225)
Symmetry-distinct sites (fractional):
1 Sc 0.0000 0.0000 0.0000 (multiplicity 4)  8 Br 2.89
2 Os 0.0000 0.0000 0.5000 (multiplicity 4)  8 Br 2.89
3 Br 0.2500 0.2500 0.2500 (multiplicity 8)  4 Os 2.89, 4 Sc 2.89

Computed properties:
* D(E_F): 19.10 states/eV/cell
* calculated total energy: -4.728 eV/atom
* ΔE_f (raw): 499 meV/atom
* polymorph energy (0 for the lowest one): 810.4 meV per atom


Record 9
First-principles (PBE-GGA) data for a relaxed structure of ScOsBr2, as listed in Alexandria.

Cell lengths 3.2594, 3.2594, 26.2509 Å; angles 90.00, 90.00, 120.00 degrees
Last column: nearest neighbours and their distance in Å.
Space group R-3m (No. 166, hexagonal axes)
Symmetry-distinct sites (fractional):
1 Sc 0.0000 0.0000 0.0000 (multiplicity 3)  6 Br 2.69
2 Os 0.0000 0.0000 0.5000 (multiplicity 3)  2 Br 2.46
3 Br 0.0000 0.0000 0.4064 (multiplicity 6)  1 Os 2.46, 3 Sc 2.69

Computed properties:
* D(E_F): 13.74 states/eV/cell
* calculated total energy: -5.034 eV/atom
* ΔE_f (raw): 192 meV/atom
* polymorph energy (0 for the lowest one): 503.7 meV per atom


Record 10
First-principles (PBE-GGA) data for a relaxed structure of ScOsBr2, as listed in Alexandria.

Cell lengths 3.8907, 3.4899, 7.6829 Å; angles 90.00, 98.31, 90.00 degrees
Last column: nearest neighbours and their distance in Å.
Space group Pm (No. 6)
Symmetry-distinct sites (fractional):
1 Sc 0.0000 0.0000 0.0000 (multiplicity 1)  4 Os 2.70-2.77, 2 Br 2.79
2 Os 0.5430 0.5000 0.1058 (multiplicity 1)  3 Br 2.55-2.61, 4 Sc 2.70-2.77
3 Br 0.2957 0.5000 0.7799 (multiplicity 1)  1 Os 2.55, 2 Sc 2.79
4 Br 0.7168 0.0000 0.3554 (multiplicity 1)  2 Os 2.61

Computed properties:
* D(E_F): 1.36 states/eV/cell
* calculated total energy: -5.490 eV/atom
* ΔE_f (raw): -264 meV/atom
* polymorph energy (0 for the lowest one): 47.7 meV per atom


Record 11
First-principles (PBE-GGA) data for a relaxed structure of ScOsBr2, as listed in Alexandria.

Cell lengths 14.9240, 3.3584, 4.3032 Å; angles 90.00, 92.56, 90.00 degrees
Last column: nearest neighbours and their distance in Å.
Space group C2/m (No. 12)
Symmetry-distinct sites (fractional):
1 Sc 0.0000 0.0000 0.0000 (multiplicity 2)  4 Os 2.73, 4 Br 2.84
2 Os 0.0000 0.5000 0.5000 (multiplicity 2)  2 Br 2.48, 4 Sc 2.73
3 Br 0.1421 0.5000 0.2240 (multiplicity 4)  1 Os 2.48

Computed properties:
* D(E_F): 4.89 states/eV/cell
* calculated total energy: -5.538 eV/atom
* ΔE_f (raw): -311 meV/atom
* polymorph energy (0 for the lowest one): 0.0 meV per atom


Record 12
First-principles (PBE-GGA) data for a relaxed structure of ScOsBr2, as listed in Alexandria.

Cell lengths 3.1620, 3.1620, 10.1877 Å; angles 90.00, 90.00, 90.00 degrees
Last column: nearest neighbours and their distance in Å.
Space group P4/mmm (No. 123)
Symmetry-distinct sites (fractional):
1 Sc 0.0000 0.0000 0.0000 (multiplicity 1)  8 Br 2.80
2 Os 0.0000 0.0000 0.5000 (multiplicity 1)  4 Os 3.16
3 Br 0.5000 0.5000 0.1652 (multiplicity 2)  4 Sc 2.80

Computed properties:
* D(E_F): 3.43 states/eV/cell
* calculated total energy: -4.763 eV/atom
* ΔE_f (raw): 464 meV/atom
* polymorph energy (0 for the lowest one): 775.4 meV per atom